1.
A relaxed Ba5Cr crystal. Source: Alexandria via LeMat-Bulk, functional PBE.

Cell lengths 7.8687, 7.8687, 7.8687 Å; angles 60.00, 60.00, 60.00 degrees
Closest atoms and distances in Å follow each position.
Sites, in units of the cell vectors:
Ba 0.2500 0.2500 0.2500  12 Ba 4.62, 4 Cr 4.82
Ba 0.6258 0.6258 0.6258  6 Ba 3.91-3.96
Ba 0.6258 0.6258 0.1227  6 Ba 3.91-3.96
Ba 0.1227 0.6258 0.6258  6 Ba 3.91-3.96
Ba 0.6258 0.1227 0.6258  6 Ba 3.91-3.96
Cr 0.0000 0.0000 0.0000  16 Ba 4.61-4.82

The spin magnetization comes out at 4.2 μB/cell.

---

2.
A relaxed Cs2Hg2Pt crystal. Source: Alexandria via LeMat-Bulk, functional PBE.

Cell lengths 7.1646, 7.1646, 6.5107 Å; angles 56.62, 56.62, 90.00 degrees
Closest atoms and distances in Å follow each position.
Sites, in units of the cell vectors:
Cs 0.7500 0.2500 0.5000  4 Hg 3.63
Cs 0.2500 0.7500 0.5000  4 Hg 3.63
Hg 0.3253 0.3253 0.3493  1 Pt 2.66, 1 Hg 2.86
Hg 0.6747 0.6747 0.6507  1 Pt 2.66, 1 Hg 2.86
Pt 0.0000 0.0000 0.0000  2 Hg 2.66

The spin magnetization comes out at 0.0 μB/cell.

---

3.
A relaxed LaBMo crystal. Source: Alexandria via LeMat-Bulk, functional PBE.

Cell lengths 4.6037, 3.2794, 7.5075 Å; angles 90.00, 99.46, 90.00 degrees
Closest atoms and distances in Å follow each position.
Sites, in units of the cell vectors:
Mo 0.1504 0.2500 0.6116  4 B 2.28-2.49
Mo 0.8496 0.7500 0.3884  4 B 2.28-2.49
B 0.6042 0.2500 0.5262  2 B 1.91
B 0.3958 0.7500 0.4738  2 B 1.91
La 0.2972 0.2500 0.1700  3 B 2.78-2.81
La 0.7028 0.7500 0.8300  3 B 2.78-2.81

The spin magnetization comes out at 0.0 μB/cell.

---

| no. | VASP energy (eV/atom) |
| --- | --- |
| 1 | -2.575 |
| 2 | -1.746 |
| 3 | -7.603 |